# 1
# DyNp3Ga12 | Alexandria | PBE-GGA | optimized geometry
data_DyNp3Ga12
_symmetry_space_group_name_H-M 'P 4/m m m'
_symmetry_Int_Tables_number 123
_symmetry_space_group_name_Hall '-P 4 2'
_cell_length_a 4.256
_cell_length_b 4.256
_cell_length_c 17.129
_cell_angle_alpha 90.00
_cell_angle_beta 90.00
_cell_angle_gamma 90.00
loop_
_atom_site_label
_atom_site_type_symbol
_atom_site_fract_x
_atom_site_fract_y
_atom_site_fract_z
Dy1 Dy 0.000 0.000 0.000
Np1 Np 0.000 0.000 0.249
Np2 Np 0.000 0.000 0.500
Ga1 Ga 0.000 0.500 0.126
Ga2 Ga 0.000 0.500 0.375
Ga3 Ga 0.500 0.500 0.000
Ga4 Ga 0.500 0.500 0.251
Ga5 Ga 0.500 0.500 0.500
# - uncorrected energy (hartree per atom) = -0.1937

# 2
# DyNp2Ga9 | Alexandria | PBE-GGA | optimized geometry
data_DyNp2Ga9
_symmetry_space_group_name_H-M 'P 4/m m m'
_symmetry_Int_Tables_number 123
_symmetry_space_group_name_Hall '-P 4 2'
_cell_length_a 4.259
_cell_length_b 4.259
_cell_length_c 12.837
_cell_angle_alpha 90.00
_cell_angle_beta 90.00
_cell_angle_gamma 90.00
loop_
_atom_site_label
_atom_site_type_symbol
_atom_site_fract_x
_atom_site_fract_y
_atom_site_fract_z
Dy1 Dy 0.000 0.000 0.000
Np1 Np 0.000 0.000 0.332
Ga1 Ga 0.000 0.500 0.168
Ga2 Ga 0.000 0.500 0.500
Ga3 Ga 0.500 0.500 0.000
Ga4 Ga 0.500 0.500 0.335
# - ΔE to the lowest computed polymorph (eV/atom) = 0.000

# 3
# Dy3NpGa12 | Alexandria | PBE-GGA | optimized geometry
data_Dy3NpGa12
_symmetry_space_group_name_H-M 'P 4/m m m'
_symmetry_Int_Tables_number 123
_symmetry_space_group_name_Hall '-P 4 2'
_cell_length_a 4.257
_cell_length_b 4.257
_cell_length_c 17.151
_cell_angle_alpha 90.00
_cell_angle_beta 90.00
_cell_angle_gamma 90.00
loop_
_atom_site_label
_atom_site_type_symbol
_atom_site_fract_x
_atom_site_fract_y
_atom_site_fract_z
Dy1 Dy 0.000 0.000 0.000
Dy2 Dy 0.000 0.000 0.250
Np1 Np 0.000 0.000 0.500
Ga1 Ga 0.000 0.500 0.125
Ga2 Ga 0.000 0.500 0.376
Ga3 Ga 0.500 0.500 0.000
Ga4 Ga 0.500 0.500 0.251
Ga5 Ga 0.500 0.500 0.500
# - uncorrected energy (hartree per atom) = -0.1615

# 4
# DyNp2Ga9 | Alexandria | PBE-GGA | optimized geometry
data_DyNp2Ga9
_symmetry_space_group_name_H-M 'R -3 m'
_symmetry_Int_Tables_number 166
_symmetry_space_group_name_Hall '-R 3 2"'
_cell_length_a 5.4790
_cell_length_b 5.4790
_cell_length_c 26.8805
_cell_angle_alpha 90.00
_cell_angle_beta 90.00
_cell_angle_gamma 120.00
loop_
_atom_site_label
_atom_site_type_symbol
_atom_site_fract_x
_atom_site_fract_y
_atom_site_fract_z
Dy1 Dy 0.0000 0.0000 0.0000
Np1 Np 0.0000 0.0000 0.1440
Ga1 Ga 0.0000 0.0000 0.3352
Ga2 Ga 0.0000 0.0000 0.5000
Ga3 Ga 0.0068 0.5034 0.9155
# - ΔE to the lowest computed polymorph (eV/atom) = 0.139

# 5
# Dy2NpGa9 | Alexandria | PBE-GGA | optimized geometry
data_Dy2NpGa9
_symmetry_space_group_name_H-M 'P 4/m m m'
_symmetry_Int_Tables_number 123
_symmetry_space_group_name_Hall '-P 4 2'
_cell_length_a 4.256
_cell_length_b 4.256
_cell_length_c 12.852
_cell_angle_alpha 90.00
_cell_angle_beta 90.00
_cell_angle_gamma 90.00
loop_
_atom_site_label
_atom_site_type_symbol
_atom_site_fract_x
_atom_site_fract_y
_atom_site_fract_z
Dy1 Dy 0.000 0.000 0.166
Np1 Np 0.000 0.000 0.500
Ga1 Ga 0.000 0.500 0.000
Ga2 Ga 0.000 0.500 0.335
Ga3 Ga 0.500 0.500 0.168
Ga4 Ga 0.500 0.500 0.500
# - uncorrected energy (hartree per atom) = -0.1670

# 6
# Dy2NpGa6 | Alexandria | PBE-GGA | optimized geometry
data_Dy2NpGa6
_symmetry_space_group_name_H-M 'P 6/m m m'
_symmetry_Int_Tables_number 191
_symmetry_space_group_name_Hall '-P 6 2'
_cell_length_a 7.6075
_cell_length_b 7.6075
_cell_length_c 3.6676
_cell_angle_alpha 90.00
_cell_angle_beta 90.00
_cell_angle_gamma 120.00
loop_
_atom_site_label
_atom_site_type_symbol
_atom_site_fract_x
_atom_site_fract_y
_atom_site_fract_z
Dy1 Dy 0.3333 0.6667 0.0000
Np1 Np 0.0000 0.0000 0.0000
Ga1 Ga 0.0000 0.3335 0.5000
# - uncorrected energy (hartree per atom) = -0.1812

# 7
# DyNpGa | Alexandria | PBE-GGA | optimized geometry
data_DyNpGa
_symmetry_space_group_name_H-M 'C 1 2/m 1'
_symmetry_Int_Tables_number 12
_symmetry_space_group_name_Hall '-C 2y'
_cell_length_a 9.479
_cell_length_b 3.525
_cell_length_c 8.725
_cell_angle_alpha 90.00
_cell_angle_beta 102.25
_cell_angle_gamma 90.00
loop_
_atom_site_label
_atom_site_type_symbol
_atom_site_fract_x
_atom_site_fract_y
_atom_site_fract_z
Dy1 Dy 0.166 0.000 0.131
Np1 Np 0.163 0.500 0.456
Ga1 Ga 0.091 0.000 0.724
# - uncorrected energy (hartree per atom) = -0.2566

# 8
# DyNp4Ga15 | Alexandria | PBE-GGA | optimized geometry
data_DyNp4Ga15
_symmetry_space_group_name_H-M 'P 4/m m m'
_symmetry_Int_Tables_number 123
_symmetry_space_group_name_Hall '-P 4 2'
_cell_length_a 4.256
_cell_length_b 4.256
_cell_length_c 21.399
_cell_angle_alpha 90.00
_cell_angle_beta 90.00
_cell_angle_gamma 90.00
loop_
_atom_site_label
_atom_site_type_symbol
_atom_site_fract_x
_atom_site_fract_y
_atom_site_fract_z
Dy1 Dy 0.000 0.000 0.000
Np1 Np 0.000 0.000 0.200
Np2 Np 0.000 0.000 0.400
Ga1 Ga 0.000 0.500 0.101
Ga2 Ga 0.000 0.500 0.300
Ga3 Ga 0.000 0.500 0.500
Ga4 Ga 0.500 0.500 0.000
Ga5 Ga 0.500 0.500 0.201
Ga6 Ga 0.500 0.500 0.400
# - uncorrected energy (hartree per atom) = -0.1967

# 9
# DyNpGa4 | Alexandria | PBE-GGA | optimized geometry
data_DyNpGa4
_symmetry_space_group_name_H-M 'F -4 3 m'
_symmetry_Int_Tables_number 216
_symmetry_space_group_name_Hall 'F -4 2 3'
_cell_length_a 7.804
_cell_length_b 7.804
_cell_length_c 7.804
_cell_angle_alpha 90.00
_cell_angle_beta 90.00
_cell_angle_gamma 90.00
loop_
_atom_site_label
_atom_site_type_symbol
_atom_site_fract_x
_atom_site_fract_y
_atom_site_fract_z
Dy1 Dy 0.000 0.000 0.000
Np1 Np 0.250 0.250 0.750
Ga1 Ga 0.125 0.125 0.375
# - uncorrected energy (hartree per atom) = -0.1919

# 10
# DyNpGa2O8 | Alexandria | PBE-GGA | optimized geometry
data_DyNpGa2O8
_symmetry_space_group_name_H-M 'I -4 m 2'
_symmetry_Int_Tables_number 119
_symmetry_space_group_name_Hall 'I -4 -2'
_cell_length_a 6.917
_cell_length_b 6.917
_cell_length_c 6.611
_cell_angle_alpha 90.00
_cell_angle_beta 90.00
_cell_angle_gamma 90.00
loop_
_atom_site_label
_atom_site_type_symbol
_atom_site_fract_x
_atom_site_fract_y
_atom_site_fract_z
Dy1 Dy 0.000 0.000 0.000
Np1 Np 0.000 0.500 0.750
Ga1 Ga 0.000 0.000 0.500
Ga2 Ga 0.000 0.500 0.250
O1 O 0.000 0.199 0.689
O2 O 0.000 0.322 0.043
# - formation energy from raw total energies (meV per atom) = -2299

# 11
# Dy2NpGa2Ru5 | Alexandria | PBE-GGA | optimized geometry
data_Dy2NpGa2Ru5
_symmetry_space_group_name_H-M 'P 4/m b m'
_symmetry_Int_Tables_number 127
_symmetry_space_group_name_Hall '-P 4 2ab'
_cell_length_a 10.113
_cell_length_b 10.113
_cell_length_c 3.421
_cell_angle_alpha 90.00
_cell_angle_beta 90.00
_cell_angle_gamma 90.00
loop_
_atom_site_label
_atom_site_type_symbol
_atom_site_fract_x
_atom_site_fract_y
_atom_site_fract_z
Dy1 Dy 0.169 0.331 0.000
Np1 Np 0.000 0.000 0.000
Ga1 Ga 0.128 0.628 0.000
Ru1 Ru 0.000 0.500 0.500
Ru2 Ru 0.067 0.802 0.500
# - uncorrected energy (hartree per atom) = -0.2881

# 12
# DyGaO3 | Alexandria | PBE-GGA | optimized geometry
data_DyGaO3
_symmetry_space_group_name_H-M 'P 63 c m'
_symmetry_Int_Tables_number 185
_symmetry_space_group_name_Hall 'P 6c -2'
_cell_length_a 6.1239
_cell_length_b 6.1239
_cell_length_c 11.7037
_cell_angle_alpha 90.00
_cell_angle_beta 90.00
_cell_angle_gamma 120.00
loop_
_atom_site_label
_atom_site_type_symbol
_atom_site_fract_x
_atom_site_fract_y
_atom_site_fract_z
Dy1 Dy 0.0000 0.0000 0.0000
Dy2 Dy 0.3333 0.6667 0.4583
Ga1 Ga 0.0000 0.3341 0.2255
O1 O 0.0000 0.0000 0.2029
O2 O 0.0000 0.3068 0.3884
O3 O 0.0000 0.3596 0.0639
O4 O 0.3333 0.6667 0.2450
# - formation energy from raw total energies (meV per atom) = -2738

# 13
# Dy2GaO | Alexandria | PBE-GGA | optimized geometry
data_Dy2GaO
_symmetry_space_group_name_H-M 'P 4/m m m'
_symmetry_Int_Tables_number 123
_symmetry_space_group_name_Hall '-P 4 2'
_cell_length_a 3.099
_cell_length_b 3.099
_cell_length_c 7.348
_cell_angle_alpha 90.00
_cell_angle_beta 90.00
_cell_angle_gamma 90.00
loop_
_atom_site_label
_atom_site_type_symbol
_atom_site_fract_x
_atom_site_fract_y
_atom_site_fract_z
Dy1 Dy 0.000 0.000 0.213
Ga1 Ga 0.500 0.500 0.500
O1 O 0.500 0.500 0.000
# - ΔE to the lowest computed polymorph (eV/atom) = 0.281
# - formation energy from raw total energies (meV per atom) = -1228

# 14
# DyGaO3 | Alexandria | PBE-GGA | optimized geometry
data_DyGaO3
_symmetry_space_group_name_H-M 'P 1 21/m 1'
_symmetry_Int_Tables_number 11
_symmetry_space_group_name_Hall '-P 2yb'
_cell_length_a 5.537
_cell_length_b 3.544
_cell_length_c 7.745
_cell_angle_alpha 90.00
_cell_angle_beta 109.16
_cell_angle_gamma 90.00
loop_
_atom_site_label
_atom_site_type_symbol
_atom_site_fract_x
_atom_site_fract_y
_atom_site_fract_z
Dy1 Dy 0.199 0.250 0.396
Ga1 Ga 0.390 0.250 0.841
O1 O 0.063 0.250 0.643
O2 O 0.322 0.750 0.922
O3 O 0.443 0.750 0.341
# - formation energy from raw total energies (meV per atom) = -2693

# 15
# DyGaO2 | Alexandria | PBE-GGA | optimized geometry
data_DyGaO2
_symmetry_space_group_name_H-M 'R -3 m'
_symmetry_Int_Tables_number 166
_symmetry_space_group_name_Hall '-R 3 2"'
_cell_length_a 3.4618
_cell_length_b 3.4618
_cell_length_c 19.4341
_cell_angle_alpha 90.00
_cell_angle_beta 90.00
_cell_angle_gamma 120.00
loop_
_atom_site_label
_atom_site_type_symbol
_atom_site_fract_x
_atom_site_fract_y
_atom_site_fract_z
Dy1 Dy 0.0000 0.0000 0.0000
Ga1 Ga 0.0000 0.0000 0.5000
O1 O 0.0000 0.0000 0.3906
# - formation energy from raw total energies (meV per atom) = -2335

# 16
# Dy2GaO | Alexandria | PBE-GGA | optimized geometry
data_Dy2GaO
_symmetry_space_group_name_H-M 'R -3 m'
_symmetry_Int_Tables_number 166
_symmetry_space_group_name_Hall '-R 3 2"'
_cell_length_a 3.4323
_cell_length_b 3.4323
_cell_length_c 25.9402
_cell_angle_alpha 90.00
_cell_angle_beta 90.00
_cell_angle_gamma 120.00
loop_
_atom_site_label
_atom_site_type_symbol
_atom_site_fract_x
_atom_site_fract_y
_atom_site_fract_z
Dy1 Dy 0.0000 0.0000 0.1138
Ga1 Ga 0.0000 0.0000 0.0000
O1 O 0.0000 0.0000 0.5000
# - ΔE to the lowest computed polymorph (eV/atom) = 0.313
# - formation energy from raw total energies (meV per atom) = -1196

# 17
# DyGaO3 | Alexandria | PBE-GGA | optimized geometry
data_DyGaO3
_symmetry_space_group_name_H-M 'P n m a'
_symmetry_Int_Tables_number 62
_symmetry_space_group_name_Hall '-P 2ac 2n'
_cell_length_a 5.604
_cell_length_b 7.628
_cell_length_c 5.303
_cell_angle_alpha 90.00
_cell_angle_beta 90.00
_cell_angle_gamma 90.00
loop_
_atom_site_label
_atom_site_type_symbol
_atom_site_fract_x
_atom_site_fract_y
_atom_site_fract_z
Dy1 Dy 0.069 0.250 0.019
Ga1 Ga 0.000 0.000 0.500
O1 O 0.038 0.750 0.389
O2 O 0.195 0.557 0.805
# - formation energy from raw total energies (meV per atom) = -2716

# 18
# Dy2GaO | Alexandria | PBE-GGA | optimized geometry
data_Dy2GaO
_symmetry_space_group_name_H-M 'A m m 2'
_symmetry_Int_Tables_number 38
_symmetry_space_group_name_Hall 'A 2 -2'
_cell_length_a 3.364
_cell_length_b 3.259
_cell_length_c 14.779
_cell_angle_alpha 90.00
_cell_angle_beta 90.00
_cell_angle_gamma 90.00
loop_
_atom_site_label
_atom_site_type_symbol
_atom_site_fract_x
_atom_site_fract_y
_atom_site_fract_z
Dy1 Dy 0.000 0.000 0.000
Dy2 Dy 0.500 0.000 0.309
Ga1 Ga 0.500 0.000 0.632
O1 O 0.000 0.000 0.843
# - ΔE to the lowest computed polymorph (eV/atom) = 0.000
# - formation energy from raw total energies (meV per atom) = -1508

# 19
# DyGaO3 | Alexandria | PBE-GGA | optimized geometry
data_DyGaO3
_symmetry_space_group_name_H-M 'C 1 2/c 1'
_symmetry_Int_Tables_number 15
_symmetry_space_group_name_Hall '-C 2yc'
_cell_length_a 10.264
_cell_length_b 9.564
_cell_length_c 5.700
_cell_angle_alpha 90.00
_cell_angle_beta 101.40
_cell_angle_gamma 90.00
loop_
_atom_site_label
_atom_site_type_symbol
_atom_site_fract_x
_atom_site_fract_y
_atom_site_fract_z
Dy1 Dy 0.000 0.098 0.250
Dy2 Dy 0.000 0.306 0.750
Ga1 Ga 0.204 0.407 0.286
O1 O 0.111 0.101 0.637
O2 O 0.119 0.259 0.117
O3 O 0.144 0.440 0.578
# - formation energy from raw total energies (meV per atom) = -2726

# 20
# Dy3GaO | Alexandria | PBE-GGA | optimized geometry
data_Dy3GaO
_symmetry_space_group_name_H-M 'C m m m'
_symmetry_Int_Tables_number 65
_symmetry_space_group_name_Hall '-C 2 2'
_cell_length_a 9.357
_cell_length_b 12.692
_cell_length_c 3.634
_cell_angle_alpha 90.00
_cell_angle_beta 90.00
_cell_angle_gamma 90.00
loop_
_atom_site_label
_atom_site_type_symbol
_atom_site_fract_x
_atom_site_fract_y
_atom_site_fract_z
Dy1 Dy 0.000 0.188 0.000
Dy2 Dy 0.190 0.369 0.500
Ga1 Ga 0.000 0.000 0.500
Ga2 Ga 0.000 0.500 0.000
O1 O 0.250 0.250 0.000
# - formation energy from raw total energies (meV per atom) = -1367